Compound: AcNpH2
Source: Alexandria via LeMat-Bulk
Functional: PBE
Structure: relaxed

Lattice parameters (Å, degrees): 3.930 3.930 6.630 72.76 72.76 60.00
Atoms (fractional coordinates):
1 H 0.880 0.880 0.359
2 H 0.120 0.120 0.641
3 Np 0.000 0.000 0.000
4 Ac 0.500 0.500 0.500

Calculated values
calculated volume	83.3	Å³/cell
electronic total energy	-5.91	eV/atom
magnetic moment	1.188	μB/atom

Compound: AcNpH
Source: Alexandria via LeMat-Bulk
Functional: PBE
Structure: relaxed

Lattice parameters (Å, degrees): 3.526 3.509 10.126 80.02 90.00 90.00
Atoms (fractional coordinates):
1 H 0.750 0.883 0.233
2 H 0.250 0.117 0.767
3 Ac 0.250 0.409 0.182
4 Ac 0.750 0.591 0.818
5 Np 0.750 0.769 0.462
6 Np 0.250 0.231 0.538

Calculated values
calculated volume	123.4	Å³/cell
electronic total energy	-6.75	eV/atom
magnetic moment	0.082	μB/atom

Compound: Ac2NpH2O6
Source: Alexandria via LeMat-Bulk
Functional: PBE
Structure: relaxed

Lattice parameters (Å, degrees): 5.410 5.410 6.408 65.03 65.03 60.00
Atoms (fractional coordinates):
1 O 0.264 0.264 0.735
2 O 0.737 0.264 0.735
3 O 0.736 0.736 0.265
4 O 0.736 0.263 0.265
5 O 0.264 0.737 0.735
6 O 0.263 0.736 0.265
7 H 0.575 0.575 0.274
8 H 0.425 0.425 0.726
9 Ac 0.780 0.780 0.659
10 Ac 0.220 0.220 0.341
11 Np 0.000 0.000 0.000

Calculated values
calculated volume	141.8	Å³/cell
electronic total energy	-7.44	eV/atom
magnetic moment	0.273	μB/atom

Compound: AcNpHO6
Source: Alexandria via LeMat-Bulk
Functional: PBE
Structure: relaxed

Lattice parameters (Å, degrees): 5.619 5.165 5.543 86.60 88.50 62.04
Atoms (fractional coordinates):
1 O 0.055 0.309 0.283
2 O 0.577 0.358 0.686
3 O 0.365 0.997 0.685
4 O 0.980 0.595 0.743
5 O 0.283 0.655 0.264
6 O 0.630 0.058 0.247
7 Np 0.330 0.323 0.471
8 Ac 0.976 0.040 0.957
9 H 0.804 0.666 0.664

Calculated values
calculated volume	141.9	Å³/cell
electronic total energy	-7.87	eV/atom
magnetic moment	0.117	μB/atom

Compound: Ac2NpHO6
Source: Alexandria via LeMat-Bulk
Functional: PBE
Structure: relaxed

Lattice parameters (Å, degrees): 6.565 7.676 6.958 90.00 64.67 90.00
Atoms (fractional coordinates):
1 O 0.892 0.296 0.410
2 O 0.608 0.796 0.090
3 O 0.108 0.704 0.590
4 O 0.264 0.367 0.562
5 O 0.255 0.528 0.209
6 O 0.392 0.204 0.910
7 O 0.745 0.472 0.791
8 O 0.755 0.972 0.709
9 O 0.236 0.867 0.938
10 O 0.245 0.028 0.291
11 O 0.764 0.133 0.062
12 O 0.736 0.633 0.438
13 Np 0.500 0.000 0.000
14 Np 0.000 0.500 0.500
15 Ac 0.635 0.437 0.196
16 Ac 0.135 0.063 0.696
17 Ac 0.865 0.937 0.304
18 Ac 0.365 0.563 0.804
19 H 0.500 0.000 0.500
20 H 0.000 0.500 0.000

Calculated values
calculated volume	316.9	Å³/cell
electronic total energy	-8.10	eV/atom
magnetic moment	0.005	μB/atom

Compound: AcNpHO5
Source: Alexandria via LeMat-Bulk
Functional: PBE
Structure: relaxed

Lattice parameters (Å, degrees): 6.186 6.186 8.391 104.33 104.33 112.85
Atoms (fractional coordinates):
1 O 0.302 0.360 0.620
2 O 0.110 0.730 0.952
3 O 0.698 0.640 0.380
4 O 0.730 0.110 0.452
5 O 0.890 0.270 0.048
6 O 0.047 0.953 0.250
7 O 0.360 0.302 0.120
8 O 0.270 0.890 0.548
9 O 0.640 0.698 0.880
10 O 0.953 0.047 0.750
11 Ac 0.701 0.299 0.750
12 Ac 0.299 0.701 0.250
13 H 0.554 0.446 0.250
14 H 0.446 0.554 0.750
15 Np 0.000 0.000 0.500
16 Np 0.000 0.000 0.000

Calculated values
calculated volume	264.6	Å³/cell
electronic total energy	-8.27	eV/atom
magnetic moment	0.125	μB/atom